4
Lattice="3.711 0.000 0.000 1.856 3.214 0.000 1.856 1.071 12.972" Properties=species:S:1:pos:R:3 comment="PBE-GGA Ac2YPu, relaxed" vol_a3_per_cell=154.75 total_energy_ev_per_cell=-27.6 formation_energy_ev_per_fu=1.38 e_above_lowest_polymorph_mev_per_atom=184 rho_g_cm3=8.4 pbc="T T T"
Ac 1.856 1.071 9.530
Y 3.711 2.143 6.486
Pu 0.000 0.000 0.000
Ac 5.567 3.214 3.442

=====

4
Lattice="4.937 0.000 0.000 2.469 4.276 0.000 2.469 1.425 4.031" Properties=species:S:1:pos:R:3 comment="PBE-GGA YPuZnIr, relaxed" vol_a3_per_cell=85.10 total_energy_ev_per_cell=-32.6 formation_energy_ev_per_fu=-1.64 rho_g_cm3=11.5 pbc="T T T"
Ir 0.000 0.000 0.000
Pu 7.406 4.276 3.023
Zn 4.937 2.851 2.016
Y 2.469 1.425 1.008

=====

6
Lattice="-0.716 -3.839 -1.821 2.389 -2.278 3.865 -6.346 -0.550 3.655" Properties=species:S:1:pos:R:3 comment="PBE-GGA GaBiAs, relaxed" vol_a3_per_cell=160.83 total_energy_ev_per_cell=-23.1 formation_energy_ev_per_fu=0.02 rho_g_cm3=7.3 pbc="T T T"
Ga -2.806 -3.708 1.275
Bi -4.943 -5.054 4.953
Ga -1.867 -2.959 4.424
As -0.928 -4.793 2.823
As -3.745 -1.875 2.876
Bi 0.271 -1.613 0.746

=====

5
Lattice="4.260 0.000 0.000 0.000 4.260 0.000 0.000 0.000 4.260" Properties=species:S:1:pos:R:3 comment="PBE-GGA Cr3PSe, relaxed" vol_a3_per_cell=77.30 total_energy_ev_per_cell=-34.3 e_above_lowest_polymorph_mev_per_atom=0 formation_energy_uncorrected_mev_per_atom=686.1 rho_g_cm3=5.7 pbc="T T T"
Cr 0.000 2.130 0.000
Se 2.130 2.130 2.130
P 0.000 0.000 0.000
Cr 2.130 0.000 0.000
Cr 0.000 0.000 2.130